[1]
The following is a meta-GGA SCAN calculation of a crystal of AlZn2Ag relaxed with PBEsol, from the Alexandria database.

Summary:
- DOS at the Fermi energy (states/eV per atom) = 0.23
- density (g/cm3) = 7.2

Cell: 2.763 4.593 4.856 Å, 90.00 90.00 90.00°
Fractional positions:
Ag: 0.500 0.000 0.500
Al: 0.000 0.500 0.500
Zn: 0.500 0.500 0.000
Zn: 0.000 0.000 0.000

***

[2]
The following is a meta-GGA SCAN calculation of a crystal of AlZnAg2 relaxed with PBEsol, from the Alexandria database.

Summary:
- DOS at the Fermi energy (states/eV per atom) = 0.20
- density (g/cm3) = 8.1

Cell: 2.792 2.792 8.590 Å, 90.00 90.00 110.06°
Fractional positions:
Ag: 0.000 0.000 0.751
Zn: 0.500 0.500 0.000
Ag: 0.000 0.000 0.249
Al: 0.500 0.500 0.500

***

[3]
The following is a meta-GGA SCAN calculation of a crystal of AlZn2Ag relaxed with PBEsol, from the Alexandria database.

Summary:
- DOS at the Fermi energy (states/eV per atom) = 0.25
- density (g/cm3) = 7.2

Cell: 2.857 2.857 8.794 Å, 80.65 80.65 60.00°
Fractional positions:
Al: 0.000 0.000 0.000
Ag: 0.500 0.500 0.500
Zn: 0.250 0.250 0.249
Zn: 0.750 0.750 0.751

***

[4]
The following is a meta-GGA SCAN calculation of a crystal of Al2ZnAg relaxed with PBEsol, from the Alexandria database.

Summary:
- DOS at the Fermi energy (states/eV per atom) = 0.40
- density (g/cm3) = 6.0

Cell: 2.820 2.820 7.903 Å, 90.00 90.00 90.00°
Fractional positions:
Al: 0.000 0.000 0.002
Ag: 0.500 0.500 0.253
Al: 0.500 0.500 0.743
Zn: 0.000 0.000 0.502

***

[5]
The following is a meta-GGA SCAN calculation of a crystal of AlZn2Ag relaxed with PBEsol, from the Alexandria database.

Summary:
- DOS at the Fermi energy (states/eV per atom) = 0.29
- density (g/cm3) = 7.1

Cell: 2.752 2.825 9.182 Å, 90.00 90.00 119.15°
Fractional positions:
Zn: 0.500 0.000 0.245
Zn: 0.000 0.000 0.004
Al: 0.500 0.000 0.754
Ag: 0.000 0.000 0.497

***

[6]
The following is a meta-GGA SCAN calculation of a crystal of AlZnAg relaxed with PBEsol, from the Alexandria database.

Summary:
- DOS at the Fermi energy (states/eV per atom) = 0.25
- density (g/cm3) = 7.0
- distance to the lowest polymorph of the same formula (meV per atom) = 89.5

Cell: 2.818 2.818 6.712 Å, 97.05 97.05 114.55°
Fractional positions:
Al: 0.669 0.669 0.338
Zn: 0.332 0.332 0.664
Ag: 0.999 0.999 0.998

***

[7]
The following is a meta-GGA SCAN calculation of a crystal of AlZnAg2 relaxed with PBEsol, from the Alexandria database.

Summary:
- DOS at the Fermi energy (states/eV per atom) = 0.30
- density (g/cm3) = 8.2

Cell: 2.876 2.876 8.916 Å, 81.31 81.31 59.54°
Fractional positions:
Ag: 0.752 0.752 0.751
Zn: 0.000 0.000 0.000
Al: 0.500 0.500 0.500
Ag: 0.248 0.248 0.249

***

[8]
The following is a meta-GGA SCAN calculation of a crystal of Al2ZnAg relaxed with PBEsol, from the Alexandria database.

Summary:
- DOS at the Fermi energy (states/eV per atom) = 0.32
- density (g/cm3) = 6.0

Cell: 4.015 4.015 4.850 Å, 114.45 114.45 90.00°
Fractional positions:
Ag: 0.000 0.000 0.000
Al: 0.750 0.250 0.500
Zn: 0.500 0.500 0.000
Al: 0.250 0.750 0.500

***

[9]
The following is a meta-GGA SCAN calculation of a crystal of Al2ZnAg relaxed with PBEsol, from the Alexandria database.

Summary:
- DOS at the Fermi energy (states/eV per atom) = 0.31
- density (g/cm3) = 6.0

Cell: 2.888 3.901 5.572 Å, 90.00 90.00 90.00°
Fractional positions:
Al: 0.000 0.000 0.000
Zn: 0.000 0.000 0.491
Al: 0.500 0.500 0.258
Ag: 0.500 0.500 0.751

***

[10]
The following is a meta-GGA SCAN calculation of a crystal of AlZn2Ag relaxed with PBEsol, from the Alexandria database.

Summary:
- DOS at the Fermi energy (states/eV per atom) = 0.32
- density (g/cm3) = 7.2

Cell: 2.852 2.852 8.806 Å, 80.68 80.68 60.00°
Fractional positions:
Zn: 0.748 0.748 0.755
Ag: 0.499 0.499 0.502
Al: 0.251 0.251 0.247
Zn: 0.001 0.001 0.996

***

[11]
The following is a meta-GGA SCAN calculation of a crystal of AlZn2Ag relaxed with PBEsol, from the Alexandria database.

Summary:
- DOS at the Fermi energy (states/eV per atom) = 0.21
- density (g/cm3) = 7.1

Cell: 2.850 4.679 4.671 Å, 90.00 90.00 93.81°
Fractional positions:
Al: 0.500 0.500 0.500
Ag: 0.000 0.000 0.500
Zn: 0.747 0.748 0.000
Zn: 0.253 0.252 0.000

***

[12]
The following is a meta-GGA SCAN calculation of a crystal of AlZnAg relaxed with PBEsol, from the Alexandria database.

Summary:
- DOS at the Fermi energy (states/eV per atom) = 0.21
- density (g/cm3) = 7.2
- distance to the lowest polymorph of the same formula (meV per atom) = 0.0

Cell: 3.086 3.717 4.709 Å, 113.24 109.12 90.00°
Fractional positions:
Al: 0.667 0.667 0.333
Zn: 0.333 0.333 0.666
Ag: 0.000 0.000 0.000

***

[13]
The following is a meta-GGA SCAN calculation of a crystal of AlZnAg2 relaxed with PBEsol, from the Alexandria database.

Summary:
- DOS at the Fermi energy (states/eV per atom) = 0.31
- density (g/cm3) = 8.2

Cell: 2.990 3.814 5.487 Å, 90.00 90.00 90.00°
Fractional positions:
Ag: 0.500 0.500 0.264
Zn: 0.500 0.500 0.759
Ag: 0.000 0.000 0.984
Al: 0.000 0.000 0.493

***

[14]
The following is a meta-GGA SCAN calculation of a crystal of AlZnAg2 relaxed with PBEsol, from the Alexandria database.

Summary:
- DOS at the Fermi energy (states/eV per atom) = 0.26
- density (g/cm3) = 8.1

Cell: 3.361 3.361 5.559 Å, 90.00 90.00 90.00°
Fractional positions:
Ag: 0.000 0.000 0.983
Ag: 0.500 0.500 0.265
Zn: 0.500 0.500 0.759
Al: 0.000 0.000 0.494

***

[15]
The following is a meta-GGA SCAN calculation of a crystal of AlZnAg2 relaxed with PBEsol, from the Alexandria database.

Summary:
- DOS at the Fermi energy (states/eV per atom) = 0.18
- density (g/cm3) = 8.2

Cell: 2.826 4.285 5.367 Å, 90.00 105.97 90.00°
Fractional positions:
Ag: 0.920 0.000 0.958
Al: 0.176 0.000 0.481
Zn: 0.325 0.500 0.772
Ag: 0.579 0.500 0.288

***

[16]
The following is a meta-GGA SCAN calculation of a crystal of AlZn2Ag relaxed with PBEsol, from the Alexandria database.

Summary:
- DOS at the Fermi energy (states/eV per atom) = 0.26
- density (g/cm3) = 7.3

Cell: 3.919 3.919 4.824 Å, 113.96 113.96 90.00°
Fractional positions:
Zn: 0.750 0.250 0.500
Zn: 0.000 0.000 0.000
Al: 0.250 0.750 0.500
Ag: 0.500 0.500 0.000

***

[17]
The following is a meta-GGA SCAN calculation of a crystal of AlZnAg2 relaxed with PBEsol, from the Alexandria database.

Summary:
- DOS at the Fermi energy (states/eV per atom) = 0.19
- density (g/cm3) = 8.2

Cell: 3.127 4.585 5.168 Å, 116.33 107.61 90.00°
Fractional positions:
Zn: 0.000 0.500 0.000
Ag: 0.749 0.749 0.498
Ag: 0.251 0.251 0.502
Al: 0.500 0.000 0.000

***

[18]
The following is a meta-GGA SCAN calculation of a crystal of Al2ZnAg relaxed with PBEsol, from the Alexandria database.

Summary:
- DOS at the Fermi energy (states/eV per atom) = 0.29
- density (g/cm3) = 5.8

Cell: 2.891 4.705 5.483 Å, 114.32 103.63 93.74°
Fractional positions:
Ag: 0.500 0.500 0.000
Zn: 0.000 0.000 0.000
Al: 0.500 0.500 0.500
Al: 0.000 0.000 0.500

***

[19]
The following is a meta-GGA SCAN calculation of a crystal of AlZnAg relaxed with PBEsol, from the Alexandria database.

Summary:
- DOS at the Fermi energy (states/eV per atom) = 0.30
- density (g/cm3) = 7.1
- distance to the lowest polymorph of the same formula (meV per atom) = 41.6

Cell: 2.795 2.795 6.286 Å, 102.84 102.84 90.00°
Fractional positions:
Ag: 0.000 0.000 0.000
Al: 0.670 0.670 0.339
Zn: 0.331 0.331 0.661

***

[20]
The following is a meta-GGA SCAN calculation of a crystal of AlZnAg2 relaxed with PBEsol, from the Alexandria database.

Summary:
- DOS at the Fermi energy (states/eV per atom) = 0.26
- density (g/cm3) = 8.3

Cell: 3.889 3.889 4.923 Å, 113.37 113.37 90.11°
Fractional positions:
Zn: 0.250 0.750 0.500
Ag: 0.750 0.250 0.500
Al: 0.500 0.500 0.000
Ag: 0.999 0.001 0.000

***

The calculation returns the following formation enthalpy at 0 K values, one per record and in order: 0.02; -0.01; -0.01; -0.01; 0.05; 0.03; -0.05; -0.01; -0.03; -0.01; -0.01; -0.06; -0.07; -0.08; -0.06; -0.01; -0.04; 0.04; -0.02; -0.07 eV per atom.